Material: CaScRu
Method: DFT, GGA-PBE
State: relaxed

The space group is P1 (No. 1) and the conventional cell measures 3.3455, 6.8648 and 7.2011 Å, with angles of 107.27, 102.95 and 103.13 degrees. The asymmetric unit holds Ca at (0.0000, 0.0000, 0.0000), Ca at (0.3360, 0.1538, 0.5593), Sc at (0.5357, 0.6229, 0.5115), Sc at (0.7442, 0.5179, 0.0548), Ru at (0.1429, 0.5671, 0.7847) and Ru at (0.8038, 0.3299, 0.3040).

Its energy above the most stable polymorph in this dataset is 44 kJ/mol of formula units. The calculation puts the formation energy at -0.094 eV/atom. As for the magnetization: 0.0 μB per cell.